No. 1
Computed, not measured: a relaxed LaYErCd crystal at the GGA-PBE level of DFT.

Total energy: -4.36 eV per atom

Unit cell a=3.6797 b=3.6797 c=8.9489 alpha=90.00 beta=90.00 gamma=90.00
Last column: nearest neighbours and their distance in Å.
Positions (direct):
Er 0.5000 0.5000 0.3572  4 Cd 3.21
Y 0.5000 0.5000 0.7852  4 Cd 3.25
La 0.0000 0.0000 0.0752  4 Er 3.62, 4 Y 3.67, 4 La 3.68
Cd 0.0000 0.0000 0.5671  4 Er 3.21, 4 Y 3.25

No. 2
Computed, not measured: a relaxed LaYErCd crystal at the GGA-PBE level of DFT.

Total energy: -4.27 eV per atom

Unit cell a=5.5457 b=5.5457 c=5.5457 alpha=60.00 beta=60.00 gamma=60.00
Last column: nearest neighbours and their distance in Å.
Positions (direct):
Cd 0.0000 0.0000 0.0000  4 Y 3.40, 4 La 3.40
La 0.2500 0.2500 0.2500  4 Cd 3.40, 4 Er 3.40
Y 0.7500 0.7500 0.7500  4 Er 3.40, 4 Cd 3.40
Er 0.5000 0.5000 0.5000  4 La 3.40, 4 Y 3.40

No. 3
Computed, not measured: a relaxed LaErZnCd crystal at the GGA-PBE level of DFT.

Total energy: -3.21 eV per atom

Unit cell a=5.3080 b=5.3080 c=5.3080 alpha=60.00 beta=60.00 gamma=60.00
Last column: nearest neighbours and their distance in Å.
Positions (direct):
Zn 0.2500 0.2500 0.2500  4 Er 3.25, 4 La 3.25
Er 0.5000 0.5000 0.5000  4 Cd 3.25, 4 Zn 3.25
Cd 0.7500 0.7500 0.7500  4 La 3.25, 4 Er 3.25
La 0.0000 0.0000 0.0000  4 Zn 3.25, 4 Cd 3.25

No. 4
Computed, not measured: a relaxed LaErZnCd crystal at the GGA-PBE level of DFT.

Total energy: -3.24 eV per atom

Unit cell a=3.6514 b=3.6514 c=7.7968 alpha=90.00 beta=90.00 gamma=90.00
Last column: nearest neighbours and their distance in Å.
Positions (direct):
Er 0.5000 0.5000 0.5864  4 Zn 3.02, 4 Cd 3.21
La 0.5000 0.5000 0.1260  4 Zn 3.28, 4 Cd 3.46, 1 Er 3.59, 4 La 3.65
Zn 0.0000 0.0000 0.3845  4 Er 3.02, 4 La 3.28
Cd 0.0000 0.0000 0.8310  4 Er 3.21, 4 La 3.46, 1 Zn 3.48

No. 5
Computed, not measured: a relaxed LiErCd4 crystal at the GGA-PBE level of DFT.

Total energy: -1.83 eV per atom

Unit cell a=5.8229 b=5.8229 c=5.8229 alpha=60.00 beta=60.00 gamma=60.00
Last column: nearest neighbours and their distance in Å.
Positions (direct):
Cd 0.6248 0.6248 0.1255  6 Cd 2.91-2.92
Cd 0.1255 0.6248 0.6248  6 Cd 2.91-2.92
Cd 0.6248 0.1255 0.6248  6 Cd 2.91-2.92
Cd 0.6248 0.6248 0.6248  6 Cd 2.91-2.92
Er 0.0000 0.0000 0.0000  12 Cd 3.41, 4 Li 3.57
Li 0.2500 0.2500 0.2500  12 Cd 3.41, 4 Er 3.57

No. 6
Computed, not measured: a relaxed LiEr3Cd2 crystal at the GGA-PBE level of DFT.

Total energy: -3.07 eV per atom

Unit cell a=3.7207 b=3.7207 c=11.0172 alpha=90.00 beta=90.00 gamma=90.00
Last column: nearest neighbours and their distance in Å.
Positions (direct):
Cd 0.5000 0.5000 0.8305  8 Er 3.19-3.23
Cd 0.5000 0.5000 0.1695  8 Er 3.19-3.23
Li 0.5000 0.5000 0.5000  8 Er 3.21
Er 0.0000 0.0000 0.6669  4 Cd 3.19, 4 Li 3.21
Er 0.0000 0.0000 0.0000  8 Cd 3.23
Er 0.0000 0.0000 0.3331  4 Cd 3.19, 4 Li 3.21